! PBE-GGA Li3NdCu8, relaxed; values from VASP
&SYSTEM
  ibrav = 0, nat = 12, ntyp = 3
/
ATOMIC_SPECIES
Li 6.94 Li.upf
Nd 144.24 Nd.upf
Cu 63.55 Cu.upf
ATOMIC_POSITIONS crystal
Li 0.000 0.000 0.000
Li 0.000 0.000 0.340
Li 0.333 0.667 0.912
Nd 0.333 0.667 0.511
Cu 0.000 0.500 0.190
Cu 0.329 0.165 0.707
Cu 0.500 0.000 0.190
Cu 0.500 0.500 0.190
Cu 0.667 0.333 0.443
Cu 0.667 0.333 0.946
Cu 0.835 0.165 0.707
Cu 0.835 0.671 0.707
CELL_PARAMETERS angstrom
5.010 0.000 0.000
-2.505 4.338 0.000
0.000 0.000 8.263
! ΔH_f (0 K) ... -0.103 eV/atom
! ΔE to the lowest computed polymorph ... 0 meV/atom
! Total magnetic moment ... 0.00 Bohr magnetons per cell